Record 1
Material: LiCrRe2
Method: DFT, SCAN
State: single point on PBEsol structure

The structure in CIF format:
```
data_LiCrRe2
_cell_length_a 2.6787
_cell_length_b 2.6787
_cell_length_c 26.8157
_cell_angle_alpha 90.00
_cell_angle_beta 90.00
_cell_angle_gamma 120.00
_symmetry_space_group_name_H-M 'R -3 m'
_symmetry_Int_Tables_number 166
_symmetry_space_group_name_Hall '-R 3 2"'
loop_
_atom_site_label
_atom_site_fract_x
_atom_site_fract_y
_atom_site_fract_z
Li1 0.0000 0.0000 0.0000
Cr1 0.0000 0.0000 0.5000
Re1 0.0000 0.0000 0.2438
```

Computed properties:
Spin magnetization (μB/f.u.): 0.00
Energy of formation (meV per atom): 224
Density (kg/m³): 12895

***

Record 2
Material: LiCr2Re
Method: DFT, SCAN
State: single point on PBEsol structure

The structure in CIF format:
```
data_LiCr2Re
_cell_length_a 2.6261
_cell_length_b 2.6261
_cell_length_c 26.9760
_cell_angle_alpha 90.00
_cell_angle_beta 90.00
_cell_angle_gamma 120.00
_symmetry_space_group_name_H-M 'R -3 m'
_symmetry_Int_Tables_number 166
_symmetry_space_group_name_Hall '-R 3 2"'
loop_
_atom_site_label
_atom_site_fract_x
_atom_site_fract_y
_atom_site_fract_z
Li1 0.0000 0.0000 0.0000
Cr1 0.0000 0.0000 0.2457
Re1 0.0000 0.0000 0.5000
```

Computed properties:
Spin magnetization (μB/f.u.): 0.00
Energy of formation (meV per atom): 534
Density (kg/m³): 9188

***

Record 3
Material: LiCr2Re
Method: DFT, SCAN
State: single point on PBEsol structure

The structure in CIF format:
```
data_LiCr2Re
_cell_length_a 2.933
_cell_length_b 4.082
_cell_length_c 8.046
_cell_angle_alpha 90.00
_cell_angle_beta 90.00
_cell_angle_gamma 90.00
_symmetry_space_group_name_H-M 'I m m m'
_symmetry_Int_Tables_number 71
_symmetry_space_group_name_Hall '-I 2 2'
loop_
_atom_site_label
_atom_site_fract_x
_atom_site_fract_y
_atom_site_fract_z
Li1 0.000 0.000 0.000
Cr1 0.000 0.500 0.241
Re1 0.000 0.000 0.500
```

Computed properties:
Spin magnetization (μB/f.u.): 0.00
Energy of formation (meV per atom): 369
Density (kg/m³): 10246

***

Please write out number 3 again, unchanged.
Material: LiCr2Re
Method: DFT, SCAN
State: single point on PBEsol structure

The structure in CIF format:
```
data_LiCr2Re
_cell_length_a 2.933
_cell_length_b 4.082
_cell_length_c 8.046
_cell_angle_alpha 90.00
_cell_angle_beta 90.00
_cell_angle_gamma 90.00
_symmetry_space_group_name_H-M 'I m m m'
_symmetry_Int_Tables_number 71
_symmetry_space_group_name_Hall '-I 2 2'
loop_
_atom_site_label
_atom_site_fract_x
_atom_site_fract_y
_atom_site_fract_z
Li1 0.000 0.000 0.000
Cr1 0.000 0.500 0.241
Re1 0.000 0.000 0.500
```

Computed properties:
Spin magnetization (μB/f.u.): 0.00
Energy of formation (meV per atom): 369
Density (kg/m³): 10246